## YSbCl2 (PBE)

Data for an optimized crystal structure of YSbCl2.

Output
Space group: R-3m
Crystal system: trigonal

Cell: 11.262 11.262 11.262 Å, 17.93 17.93 17.93°
Positions (direct):
Y: 0.000 0.000 0.000
Sb: 0.500 0.500 0.500
Cl: 0.387 0.387 0.387
Cl: 0.613 0.613 0.613

## YSbCl (PBE)

Data for an optimized crystal structure of YSbCl.

Output
Space group: P-6m2
Crystal system: hexagonal

Cell: 4.908 4.908 3.633 Å, 90.00 90.00 120.00°
Positions (direct):
Y: 0.000 0.000 0.000
Sb: 0.333 0.667 0.500
Cl: 0.667 0.333 0.000

## YSbCl6 (PBE)

Data for an optimized crystal structure of YSbCl6.

Output
Space group: R-3
Crystal system: trigonal

Cell: 7.213 7.213 7.213 Å, 55.52 55.52 55.52°
Positions (direct):
Y: 0.000 0.000 0.000
Sb: 0.500 0.500 0.500
Cl: 0.095 0.404 0.751
Cl: 0.249 0.905 0.596
Cl: 0.404 0.751 0.095
Cl: 0.596 0.249 0.905
Cl: 0.751 0.095 0.404
Cl: 0.905 0.596 0.249

Number 1: formation energy from raw total energies -1.1491 eV per atom, final energy -4.7190 eV per atom, distance to the lowest polymorph of the same formula 0.173 eV/atom. Number 2: formation energy from raw total energies -1.0831 eV per atom, final energy -5.2275 eV per atom, distance to the lowest polymorph of the same formula 0.079 eV/atom. Number 3: formation energy from raw total energies -1.5172 eV per atom, final energy -4.2255 eV per atom, distance to the lowest polymorph of the same formula 0.008 eV/atom.